Entry 1:
MgMnCl2 | PBE | optimized geometry

Unit cell a=6.7221 b=6.7221 c=6.7221 alpha=90.00 beta=90.00 gamma=90.00
Space group Fm-3m (No. 225)
Asymmetric unit:
Mg  0.0000  0.0000  0.0000 (multiplicity 4)
Mn  0.0000  0.0000  0.5000 (multiplicity 4)
Cl  0.2500  0.2500  0.2500 (multiplicity 8)

Output
E above lowest polymorph   11.36 kcal/mol of atoms
Fermi-level density of states   21.28 states/eV per cell
Volume   18.984 A^3/atom

***

Entry 2:
MgMnCl6 | PBE | optimized geometry

Unit cell a=6.1359 b=6.1359 c=16.4027 alpha=90.00 beta=90.00 gamma=120.00
Space group R-3 (No. 148, hexagonal axes)
Asymmetric unit:
Mg  0.0000  0.0000  0.0000 (multiplicity 3)
Mn  0.0000  0.0000  0.5000 (multiplicity 3)
Cl  0.0046  0.3093  0.5800 (multiplicity 18)

Output
E above lowest polymorph   1.96 kcal/mol of atoms
Volume   22.285 A^3/atom

***

Entry 3:
MgMnCl2 | PBE | optimized geometry

Unit cell a=6.3783 b=7.4941 c=3.2999 alpha=90.00 beta=90.00 gamma=90.00
Space group Cmmm (No. 65)
Asymmetric unit:
Mg  0.0000  0.0000  0.0000 (multiplicity 2)
Mn  0.0000  0.5000  0.0000 (multiplicity 2)
Cl  0.2500  0.2500  0.5000 (multiplicity 4)

Output
E above lowest polymorph   11.42 kcal/mol of atoms
Fermi-level density of states   3.36 states/eV per cell
Volume   19.717 A^3/atom

***

Entry 4:
MgMn3Cl | PBE | optimized geometry

Unit cell a=4.2936 b=4.2936 c=4.2936 alpha=90.00 beta=90.00 gamma=90.00
Space group Pm-3m (No. 221)
Asymmetric unit:
Mg  0.0000  0.0000  0.0000 (multiplicity 1)
Mn  0.0000  0.5000  0.5000 (multiplicity 3)
Cl  0.5000  0.5000  0.5000 (multiplicity 1)

Output
E above lowest polymorph   0.00 kcal/mol of atoms
Fermi-level density of states   2.79 states/eV per cell
Volume   15.831 A^3/atom

***

Entry 5:
Mg3MnCl | PBE | optimized geometry

Unit cell a=4.9317 b=4.9317 c=4.9317 alpha=90.00 beta=90.00 gamma=90.00
Space group Pm-3m (No. 221)
Asymmetric unit:
Mg  0.0000  0.0000  0.5000 (multiplicity 3)
Mn  0.5000  0.5000  0.5000 (multiplicity 1)
Cl  0.0000  0.0000  0.0000 (multiplicity 1)

Output
VASP energy   -2.80 eV per atom
Fermi-level density of states   4.45 states/eV per cell
Volume   23.990 A^3/atom

***

Entry 6:
MgMnCl2 | PBE | optimized geometry

Unit cell a=7.0658 b=7.0658 c=7.0658 alpha=90.00 beta=90.00 gamma=90.00
Space group F-43m (No. 216)
Asymmetric unit:
Mg  0.0000  0.0000  0.0000 (multiplicity 4)
Mn  0.2500  0.2500  0.2500 (multiplicity 4)
Cl  0.0000  0.0000  0.5000 (multiplicity 4)
Cl  0.2500  0.2500  0.7500 (multiplicity 4)

Output
E above lowest polymorph   16.70 kcal/mol of atoms
Fermi-level density of states   4.54 states/eV per cell
Volume   22.048 A^3/atom

***

Entry 7:
MgMnCl2 | PBE | optimized geometry

Unit cell a=3.3059 b=3.3242 c=8.7371 alpha=90.00 beta=100.77 gamma=90.00
Space group Pm (No. 6)
Asymmetric unit:
Mg  0.0000  0.0000  0.0000 (multiplicity 1)
Mn  0.6202  0.5000  0.2478 (multiplicity 1)
Cl  0.4272  0.5000  0.8473 (multiplicity 1)
Cl  0.7201  0.0000  0.4430 (multiplicity 1)

Output
E above lowest polymorph   0.41 kcal/mol of atoms
Fermi-level density of states   1.14 states/eV per cell
Volume   23.581 A^3/atom

***

Entry 8:
Mg3MnCl | PBE | optimized geometry

Unit cell a=5.2984 b=5.2984 c=5.2984 alpha=90.00 beta=90.00 gamma=90.00
Space group Pm-3m (No. 221)
Asymmetric unit:
Mg  0.0000  0.0000  0.5000 (multiplicity 3)
Mn  0.0000  0.0000  0.0000 (multiplicity 1)
Cl  0.5000  0.5000  0.5000 (multiplicity 1)

Output
VASP energy   -2.80 eV per atom
Fermi-level density of states   2.67 states/eV per cell
Volume   29.748 A^3/atom

***

Entry 9:
Mg5MnCl12 | PBE | optimized geometry

Unit cell a=6.3668 b=11.0323 c=13.3032 alpha=90.00 beta=90.05 gamma=90.00
Space group C2/m (No. 12)
Asymmetric unit:
Mg  0.0000  0.0000  0.0000 (multiplicity 2)
Mg  0.0000  0.1666  0.5000 (multiplicity 4)
Mg  0.0000  0.3333  0.0000 (multiplicity 4)
Mn  0.0000  0.5000  0.5000 (multiplicity 2)
Cl  0.1638  0.0000  0.6039 (multiplicity 4)
Cl  0.1664  0.1667  0.8969 (multiplicity 8)
Cl  0.1665  0.5000  0.8969 (multiplicity 4)
Cl  0.1682  0.3319  0.6038 (multiplicity 8)

Output
VASP energy   -3.91 eV per atom
Fermi-level density of states   0.00 states/eV per cell
Volume   25.956 A^3/atom

***

Entry 10:
MgMnCl2 | PBE | optimized geometry

Unit cell a=3.3586 b=6.9165 c=9.5863 alpha=90.00 beta=90.00 gamma=90.00
Space group Imm2 (No. 44)
Asymmetric unit:
Mg  0.0000  0.0000  0.0000 (multiplicity 2)
Mn  0.0000  0.5000  0.7547 (multiplicity 2)
Cl  0.0000  0.0000  0.4391 (multiplicity 2)
Cl  0.0000  0.5000  0.3172 (multiplicity 2)

Output
E above lowest polymorph   2.15 kcal/mol of atoms
Fermi-level density of states   2.19 states/eV per cell
Volume   27.835 A^3/atom

***

Entry 11:
MgMnCl4 | PBE | optimized geometry

Unit cell a=8.3645 b=8.3645 c=8.3645 alpha=90.00 beta=90.00 gamma=90.00
Space group F-43m (No. 216)
Asymmetric unit:
Mg  0.0000  0.0000  0.0000 (multiplicity 4)
Mn  0.2500  0.2500  0.7500 (multiplicity 4)
Cl  0.1254  0.1254  0.3746 (multiplicity 16)

Output
E above lowest polymorph   42.89 kcal/mol of atoms
Fermi-level density of states   20.85 states/eV per cell
Volume   24.385 A^3/atom

***

Entry 12:
MgMnCl4 | PBE | optimized geometry

Unit cell a=6.1559 b=6.1559 c=10.2158 alpha=90.00 beta=90.00 gamma=90.00
Space group I-4 (No. 82)
Asymmetric unit:
Mg  0.0000  0.0000  0.0000 (multiplicity 2)
Mn  0.0000  0.5000  0.2500 (multiplicity 2)
Cl  0.2058  0.2475  0.1267 (multiplicity 8)

Output
E above lowest polymorph   1.09 kcal/mol of atoms
Fermi-level density of states   0.00 states/eV per cell
Volume   32.261 A^3/atom

***

Entry 13:
MgMnCl2 | PBE | optimized geometry

Unit cell a=3.2074 b=3.2074 c=9.1827 alpha=90.00 beta=90.00 gamma=90.00
Space group P4/mmm (No. 123)
Asymmetric unit:
Mg  0.0000  0.0000  0.0000 (multiplicity 1)
Mn  0.0000  0.0000  0.5000 (multiplicity 1)
Cl  0.5000  0.5000  0.3320 (multiplicity 2)

Output
E above lowest polymorph   6.69 kcal/mol of atoms
Fermi-level density of states   1.17 states/eV per cell
Volume   23.616 A^3/atom

***

Entry 14:
Mg4MnCl | PBE | optimized geometry

Unit cell a=8.2966 b=8.2966 c=8.2966 alpha=90.00 beta=90.00 gamma=90.00
Space group F-43m (No. 216)
Asymmetric unit:
Mg  0.1233  0.1233  0.1233 (multiplicity 16)
Mn  0.2500  0.2500  0.7500 (multiplicity 4)
Cl  0.0000  0.0000  0.5000 (multiplicity 4)

Output
VASP energy   -2.64 eV per atom
Fermi-level density of states   14.58 states/eV per cell
Volume   23.795 A^3/atom

***

Entry 15:
MgMnCl2 | PBE | optimized geometry

Unit cell a=3.5222 b=4.0927 c=5.6997 alpha=90.00 beta=92.57 gamma=90.00
Space group P2/m (No. 10)
Asymmetric unit:
Mg  0.0000  0.0000  0.0000 (multiplicity 1)
Mn  0.5000  0.0000  0.5000 (multiplicity 1)
Cl  0.2899  0.5000  0.2559 (multiplicity 2)

Output
E above lowest polymorph   6.81 kcal/mol of atoms
Fermi-level density of states   1.36 states/eV per cell
Volume   20.520 A^3/atom

***

Entry 16:
MgMnCl2 | PBE | optimized geometry

Unit cell a=13.5074 b=3.4865 c=5.0440 alpha=90.00 beta=111.88 gamma=90.00
Space group C2/m (No. 12)
Asymmetric unit:
Mg  0.0000  0.0000  0.0000 (multiplicity 2)
Mn  0.0000  0.5000  0.5000 (multiplicity 2)
Cl  0.1385  0.0000  0.6416 (multiplicity 4)

Output
E above lowest polymorph   3.05 kcal/mol of atoms
Fermi-level density of states   2.66 states/eV per cell
Volume   27.553 A^3/atom

***

Entry 17:
MgMnCl2 | PBE | optimized geometry

Unit cell a=4.8382 b=4.8382 c=3.3044 alpha=90.00 beta=90.00 gamma=90.00
Space group P4/mmm (No. 123)
Asymmetric unit:
Mg  0.0000  0.0000  0.0000 (multiplicity 1)
Mn  0.5000  0.5000  0.0000 (multiplicity 1)
Cl  0.0000  0.5000  0.5000 (multiplicity 2)

Output
E above lowest polymorph   11.67 kcal/mol of atoms
Fermi-level density of states   2.93 states/eV per cell
Volume   19.338 A^3/atom

***

Entry 18:
MgMnCl2 | PBE | optimized geometry

Unit cell a=3.5392 b=3.5392 c=29.0929 alpha=90.00 beta=90.00 gamma=120.00
Space group R-3m (No. 166, hexagonal axes)
Asymmetric unit:
Mg  0.0000  0.0000  0.0000 (multiplicity 3)
Mn  0.0000  0.0000  0.5000 (multiplicity 3)
Cl  0.0000  0.0000  0.2178 (multiplicity 6)

Output
E above lowest polymorph   1.56 kcal/mol of atoms
Fermi-level density of states   4.28 states/eV per cell
Volume   26.300 A^3/atom

***

Entry 19:
MgMnCl4 | PBE | optimized geometry

Unit cell a=6.3826 b=3.6907 c=6.7918 alpha=90.00 beta=107.33 gamma=90.00
Space group P2/m (No. 10)
Asymmetric unit:
Mg  0.0000  0.0000  0.0000 (multiplicity 1)
Mn  0.5000  0.5000  0.0000 (multiplicity 1)
Cl  0.2315  0.5000  0.2124 (multiplicity 2)
Cl  0.2631  0.0000  0.7863 (multiplicity 2)

Output
E above lowest polymorph   0.00 kcal/mol of atoms
Fermi-level density of states   0.00 states/eV per cell
Volume   25.455 A^3/atom

***

Entry 20:
MgMnCl2 | PBE | optimized geometry

Unit cell a=3.2644 b=4.1166 c=6.1058 alpha=90.00 beta=90.00 gamma=90.00
Space group Pmmm (No. 47)
Asymmetric unit:
Mg  0.0000  0.0000  0.0000 (multiplicity 1)
Mn  0.5000  0.0000  0.5000 (multiplicity 1)
Cl  0.0000  0.5000  0.5000 (multiplicity 1)
Cl  0.5000  0.5000  0.0000 (multiplicity 1)

Output
E above lowest polymorph   7.13 kcal/mol of atoms
Fermi-level density of states   1.73 states/eV per cell
Volume   20.513 A^3/atom